Entry 1:
Density functional theory data (PBE-GGA) for a relaxed BeCo2W crystal.

Cell: 4.658 4.676 2.566 Å, 77.85 82.62 117.57°
Last column: magnetic moment on the atom in μB.
Atoms (fractional coordinates):
W (0.000, 0.500, 0.500)  -0.02
Be (0.500, 0.500, 0.000)  -0.01
Co (0.500, 0.000, 0.500)  0.49
Co (0.000, 0.000, 0.000)  0.49

Calculated total energy in hartree per atom: -0.277
Formation energy from the elements in eV/atom: 0.183
Total magnetic moment in Bohr magnetons per cell: 0.9

Entry 2:
Density functional theory data (PBE-GGA) for a relaxed Be2CoW crystal.

Cell: 4.248 4.248 4.248 Å, 130.43 130.43 72.71°
Atoms (fractional coordinates):
W (0.750, 0.250, 0.500)
Co (0.500, 0.500, 0.000)
Be (0.250, 0.750, 0.500)
Be (0.000, 0.000, 0.000)

Calculated total energy in hartree per atom: -0.252
Formation energy from the elements in eV/atom: 0.029
Energy relative to the lowest polymorph listed for this composition in meV per atom: 136.2
Total magnetic moment in Bohr magnetons per cell: 0.0

Entry 3:
Density functional theory data (PBE-GGA) for a relaxed BeCo2W crystal.

Cell: 7.839 7.839 7.839 Å, 19.53 19.53 19.53°
Last column: magnetic moment on the atom in μB.
Atoms (fractional coordinates):
Co (0.010, 0.010, 0.010)  1.04
Co (0.490, 0.490, 0.490)  1.04
Be (0.750, 0.750, 0.750)  -0.02
W (0.250, 0.250, 0.250)  0.02

Calculated total energy in hartree per atom: -0.277
Formation energy from the elements in eV/atom: 0.180
Total magnetic moment in Bohr magnetons per cell: 2.1

Entry 4:
Density functional theory data (PBE-GGA) for a relaxed Be4Co5W crystal.

Cell: 2.634 2.634 13.936 Å, 90.00 90.00 90.00°
Last column: magnetic moment on the atom in μB.
Atoms (fractional coordinates):
W (0.000, 0.000, 0.000)  -0.01
Be (0.000, 0.000, 0.408)  -0.02
Be (0.000, 0.000, 0.592)  -0.02
Be (0.000, 0.000, 0.223)  -0.01
Be (0.000, 0.000, 0.777)  -0.01
Co (0.500, 0.500, 0.684)  0.44
Co (0.500, 0.500, 0.131)  0.04
Co (0.500, 0.500, 0.500)  0.55
Co (0.500, 0.500, 0.869)  0.04
Co (0.500, 0.500, 0.316)  0.44

Calculated total energy in hartree per atom: -0.242
Formation energy from the elements in eV/atom: -0.241
Total magnetic moment in Bohr magnetons per cell: 1.4

Entry 5:
Density functional theory data (PBE-GGA) for a relaxed Be2CoW crystal.

Cell: 2.680 2.680 5.901 Å, 90.00 90.00 90.00°
Atoms (fractional coordinates):
Be (0.000, 0.000, 0.048)
Be (0.500, 0.500, 0.249)
Co (0.000, 0.000, 0.452)
W (0.500, 0.500, 0.751)

Calculated total energy in hartree per atom: -0.257
Formation energy from the elements in eV/atom: -0.107
Energy relative to the lowest polymorph listed for this composition in meV per atom: 0.0
Total magnetic moment in Bohr magnetons per cell: 0.0

Entry 6:
Density functional theory data (PBE-GGA) for a relaxed Be17CoW crystal.

Cell: 5.447 5.447 5.447 Å, 82.85 82.85 82.85°
Atoms (fractional coordinates):
Be (0.169, 0.647, 0.647)
Be (0.693, 0.006, 0.300)
Be (0.006, 0.300, 0.693)
Be (0.693, 0.300, 0.006)
Be (0.300, 0.693, 0.006)
Be (0.300, 0.006, 0.693)
Be (0.505, 0.990, 0.990)
Be (0.848, 0.349, 0.349)
Be (0.647, 0.647, 0.169)
Be (0.349, 0.848, 0.349)
Be (0.990, 0.505, 0.990)
Be (0.349, 0.349, 0.848)
Be (0.105, 0.105, 0.105)
Be (0.990, 0.990, 0.505)
Be (0.647, 0.169, 0.647)
Be (0.006, 0.693, 0.300)
Be (0.901, 0.901, 0.901)
W (0.661, 0.661, 0.661)
Co (0.341, 0.341, 0.341)

Calculated total energy in hartree per atom: -0.165
Formation energy from the elements in eV/atom: -0.102
Total magnetic moment in Bohr magnetons per cell: 0.0

Number 1: calculated volume 47 Å³/cell. Number 2: calculated volume 43 Å³/cell. Number 3: calculated volume 47 Å³/cell. Number 4: calculated volume 97 Å³/cell. Number 5: calculated volume 42 Å³/cell. Number 6: calculated volume 158 Å³/cell.